Entry 1:
{"formula": "DyNbMo", "functional": "PBE", "state": "optimized geometry", "lattice": [[0.000, 4.246, 5.139], [2.991, 0.000, 5.139], [2.991, 4.246, 0.000]], "species": ["Dy", "Dy", "Nb", "Nb", "Mo", "Mo"], "frac_coords": [[0.182, 0.818, 0.182], [0.818, 0.182, 0.818], [0.324, 0.324, 0.676], [0.676, 0.676, 0.324], [0.250, 0.250, 0.250], [0.750, 0.750, 0.750]]}

Entry 2:
{"formula": "NdDyMo4", "functional": "PBE", "state": "optimized geometry", "lattice": [[0.000, 3.927, 3.927], [3.927, 0.000, 3.927], [3.927, 3.927, 0.000]], "species": ["Nd", "Dy", "Mo", "Mo", "Mo", "Mo"], "frac_coords": [[0.000, 0.000, 0.000], [0.250, 0.250, 0.250], [0.124, 0.625, 0.625], [0.625, 0.124, 0.625], [0.625, 0.625, 0.124], [0.625, 0.625, 0.625]]}

Final energy (eV per formula unit)
-24.65; -51.60